[1]
Density functional theory data (GGA-PBE) for a relaxed Li2InPt crystal.

extended XYZ file:
```
4
Lattice="-2.781 -3.185 0.066 2.084 -1.804 0.742 0.032 0.085 5.501" Properties=species:S:1:pos:R:3 pbc="T T T"
Pt 0.963 -0.780 2.961
In 0.292 -2.965 4.729
Li 0.262 -0.224 0.208
Li -1.124 -1.794 1.532
```

Summary:
- Space-group type: No. 6

[2]
Density functional theory data (GGA-PBE) for a relaxed Li2InPt crystal.

extended XYZ file:
```
4
Lattice="-2.661 -3.891 -0.944 2.925 0.874 -3.714 2.067 -1.711 1.225" Properties=species:S:1:pos:R:3 pbc="T T T"
Li 0.132 -1.508 -2.329
In 2.496 -0.418 -1.244
Pt -0.297 -2.801 0.140
Li 0.000 0.000 0.000
```

Summary:
- Space-group type: No. 65

Computed E_form, in the same sequence as the records: -0.421; -0.416 eV per atom.
Computed density of states at the Fermi level, in the same sequence as the records: 0.227; 0.278 states/eV per atom.
Computed magnetization, in the same sequence as the records: 0.00; 0.00 μB/f.u..